Record 1
A geometry-optimized BaH8O5 structure. Source: Alexandria via LeMat-Bulk, functional GGA-PBEsol.

## Properties
Fermi-level density of states, states/eV/f.u.: 0.000
Energy, eV/atom: -5.2724
Total magnetization, μB/f.u.: 0.00

```
BaH8O5
1.0
7.4223 0.0000 0.0000
0.0000 11.1343 0.0000
0.0000 0.0000 5.8681
Ba H O
4 32 20
Cartesian
0.2335 2.7836 0.4699 Ba
3.4777 8.3507 3.4039 Ba
3.9447 2.7836 2.4642 Ba
7.1888 8.3507 5.3983 Ba
0.3198 5.7723 1.5854 H
0.3198 10.9292 1.5854 H
0.3418 7.5503 2.3054 H
0.3418 9.1512 2.3054 H
1.2199 0.9001 3.0597 H
1.2199 4.6671 3.0597 H
1.4358 5.7907 4.8622 H
1.4358 10.9107 4.8622 H
2.2754 0.2236 1.9281 H
2.2754 5.3436 1.9281 H
2.4912 6.4672 0.1256 H
2.4912 10.2343 0.1256 H
3.3694 1.9831 5.2395 H
3.3694 3.5840 5.2395 H
3.3913 0.2051 4.5194 H
3.3913 5.3620 4.5194 H
4.0310 5.7723 1.3487 H
4.0310 10.9292 1.3487 H
4.0529 7.5503 0.6287 H
4.0529 9.1512 0.6287 H
4.9311 0.9001 5.7425 H
4.9311 4.6671 5.7425 H
5.1470 5.7907 3.9401 H
5.1470 10.9107 3.9401 H
5.9865 0.2236 1.0060 H
5.9865 5.3436 1.0060 H
6.2024 6.4672 2.8084 H
6.2024 10.2343 2.8084 H
7.0805 1.9831 3.5628 H
7.0805 3.5840 3.5628 H
7.1025 0.2051 4.2828 H
7.1025 5.3620 4.2828 H
0.4233 0.8509 4.3957 O
0.4233 4.7163 4.3957 O
0.7826 8.3507 2.7679 O
1.6492 1.0267 2.1249 O
1.6492 4.5405 2.1249 O
2.0620 6.5938 5.0590 O
2.0620 10.1076 5.0590 O
2.9286 2.7836 5.7020 O
3.2879 6.4180 1.4616 O
3.2879 10.2834 1.4616 O
4.1344 0.8509 4.4065 O
4.1344 4.7163 4.4065 O
4.4937 8.3507 0.1662 O
5.3603 1.0267 0.8092 O
5.3603 4.5405 0.8092 O
5.7731 6.5938 3.7433 O
5.7731 10.1076 3.7433 O
6.6397 2.7836 3.1003 O
6.9990 6.4180 1.4724 O
6.9990 10.2834 1.4724 O
```

Record 2
A geometry-optimized BaH4O6 structure. Source: Alexandria via LeMat-Bulk, functional GGA-PBEsol.

## Properties
Fermi-level density of states, states/eV/f.u.: 2.554
Energy, eV/atom: -5.2952
Total magnetization, μB/f.u.: 2.00
Offset from the most stable computed form, meV per atom: 0.0

```
BaH4O6
1.0
5.3759 -2.4530 0.0000
5.3759 2.4530 0.0000
-2.7886 0.0000 8.5811
Ba H O
2 8 12
Cartesian
3.2845 1.8430 6.4358 Ba
4.6788 -1.8430 2.1453 Ba
2.9748 0.6050 1.6181 H
3.5044 0.3193 0.1464 H
2.1102 -0.3193 4.4370 H
1.5806 -0.6050 5.9086 H
6.3827 0.6050 2.6725 H
5.8531 0.3193 4.1441 H
4.4588 -0.3193 8.4347 H
4.9884 -0.6050 6.9630 H
-0.0634 0.6865 4.9291 O
2.0897 0.7060 3.0649 O
3.7996 0.6315 1.0490 O
1.3309 -0.6865 0.6386 O
0.6955 -0.7060 7.3554 O
5.5580 0.6315 3.2415 O
2.4053 -0.6315 5.3396 O
7.2678 0.7060 1.2257 O
6.6324 0.6865 7.9425 O
4.1637 -0.6315 7.5321 O
5.8735 -0.7060 5.5162 O
8.0267 -0.6865 3.6520 O
```

Record 3
A geometry-optimized BaHO2 structure. Source: Alexandria via LeMat-Bulk, functional GGA-PBEsol.

## Properties
Fermi-level density of states, states/eV/f.u.: 3.131
Energy, eV/atom: -3.3507
Total magnetization, μB/f.u.: 0.56

```
BaHO2
1.0
3.4414 0.0000 0.0000
-1.7207 2.9803 0.0000
0.0000 0.0000 17.8777
Ba H O
3 3 6
Cartesian
0.0000 0.0000 0.0000 Ba
0.0000 1.9869 11.9185 Ba
1.7207 0.9934 5.9592 Ba
0.0000 0.0000 8.9389 H
0.0000 1.9869 2.9796 H
1.7207 0.9934 14.8981 H
0.0000 0.0000 2.1882 O
0.0000 0.0000 15.6895 O
0.0000 1.9869 9.7303 O
0.0000 1.9869 14.1067 O
1.7207 0.9934 3.7711 O
1.7207 0.9934 8.1474 O
```

Record 4
A geometry-optimized BaH4O6 structure. Source: Alexandria via LeMat-Bulk, functional GGA-PBEsol.

## Properties
Fermi-level density of states, states/eV/f.u.: 1.180
Energy, eV/atom: -5.2248
Total magnetization, μB/f.u.: 1.01
Offset from the most stable computed form, meV per atom: 70.4

```
BaH4O6
1.0
6.1043 0.0000 0.0000
0.6188 6.5412 0.0000
1.8489 1.6758 6.6136
Ba H O
2 8 12
Cartesian
0.0000 0.0000 0.0000 Ba
3.3001 4.7842 3.6180 Ba
1.6366 3.3570 0.1786 H
2.7739 1.5889 3.1433 H
4.6441 5.9389 6.1222 H
4.7628 1.4023 4.8079 H
4.2992 5.3142 0.2976 H
6.5892 6.2561 3.7286 H
6.6172 4.0607 4.3404 H
7.1354 4.6756 5.8274 H
1.6224 2.1800 1.2413 O
3.6466 5.7669 6.1154 O
2.8991 1.1111 4.0490 O
2.6031 2.5973 2.0047 O
2.8477 6.3113 1.4593 O
3.8336 2.0194 4.7108 O
4.1989 6.1533 1.3831 O
6.2354 6.3061 6.0824 O
6.4978 7.2175 4.9652 O
5.9462 4.4206 3.4236 O
6.7293 5.5699 2.9642 O
7.3969 3.8849 5.2969 O
```

Record 5
A geometry-optimized BaP2H4O8 structure. Source: Alexandria via LeMat-Bulk, functional GGA-PBEsol.

## Properties
Fermi-level density of states, states/eV/f.u.: 0.000
Energy, eV/atom: -6.5560
Total magnetization, μB/f.u.: 0.00
Offset from the most stable computed form, meV per atom: 26.0

```
BaP2H4O8
1.0
7.2865 0.0000 0.0000
-1.8757 7.0454 0.0000
-0.4447 -1.9974 7.5494
Ba P H O
2 4 8 16
Cartesian
1.0487 1.7684 0.9774 Ba
3.9174 3.2796 6.5720 Ba
-0.0125 3.4128 6.9328 P
1.7534 0.4579 4.5106 P
3.2128 4.5901 3.0387 P
4.9786 1.6352 0.6165 P
0.0961 1.1821 5.8008 H
0.8990 4.9372 5.5702 H
1.4499 5.1841 1.3840 H
3.4209 -0.9987 3.7747 H
2.4831 2.5240 3.7747 H
3.5162 -0.1361 6.1653 H
4.0671 0.1108 1.9791 H
4.8700 3.8659 1.7486 H
-0.6790 2.3081 6.1205 O
-1.0057 4.4119 7.4573 O
0.7495 0.3280 5.7155 O
1.1304 0.3732 3.1556 O
1.2541 4.6642 0.5315 O
1.1586 4.1280 6.1341 O
2.7910 -0.7232 4.7852 O
2.5596 1.7752 4.7112 O
2.4065 3.2729 2.8381 O
2.1751 5.7712 2.7642 O
3.8076 0.9200 1.4152 O
3.7120 0.3838 7.0179 O
3.8357 4.6748 4.3937 O
4.2166 4.7200 1.8338 O
5.9718 0.6361 0.0921 O
5.6451 2.7400 1.4288 O
```

Record 6
A geometry-optimized BaP2H4O8 structure. Source: Alexandria via LeMat-Bulk, functional GGA-PBEsol.

## Properties
Fermi-level density of states, states/eV/f.u.: 0.000
Energy, eV/atom: -6.5820
Total magnetization, μB/f.u.: 0.00
Offset from the most stable computed form, meV per atom: 0.0

```
BaP2H4O8
1.0
7.6383 0.0000 0.0000
0.0000 10.5380 0.0000
0.0000 0.0000 8.5458
Ba P H O
4 8 16 32
Cartesian
1.9096 2.6345 0.8928 Ba
1.9096 2.6345 5.1657 Ba
5.7287 7.9035 3.3801 Ba
5.7287 7.9035 7.6530 Ba
0.5726 6.0955 1.7813 P
0.5726 9.7114 6.0542 P
3.2465 6.0955 6.0542 P
3.2465 9.7114 1.7813 P
4.3918 0.8265 6.7645 P
4.3918 4.4425 2.4916 P
7.0656 0.8265 2.4916 P
7.0656 4.4425 6.7645 P
0.6735 6.0873 6.0003 H
0.6735 9.7197 1.7274 H
1.3670 6.4821 3.9248 H
1.3670 9.3248 8.1977 H
2.4521 6.4821 8.1977 H
2.4521 9.3248 3.9248 H
3.1456 6.0873 1.7274 H
3.1456 9.7197 6.0003 H
4.4927 0.8183 2.5455 H
4.4927 4.4507 6.8184 H
5.1862 1.2132 4.6210 H
5.1862 4.0558 0.3481 H
6.2712 1.2132 0.3481 H
6.2712 4.0558 4.6210 H
6.9647 0.8183 6.8184 H
6.9647 4.4507 2.5455 H
0.2586 0.6998 6.3469 O
0.2586 4.5692 2.0740 O
0.6057 1.5284 3.1209 O
0.6057 3.7406 7.3938 O
0.7353 6.8166 3.1823 O
0.7353 8.9903 7.4552 O
1.8880 6.0702 1.0020 O
1.8880 9.7367 5.2749 O
1.9312 6.0702 5.2749 O
1.9312 9.7367 1.0020 O
3.0838 6.8166 7.4552 O
3.0838 8.9903 3.1823 O
3.2134 1.5284 7.3938 O
3.2134 3.7406 3.1209 O
3.5606 0.6998 2.0740 O
3.5606 4.5692 6.3469 O
4.0777 5.9687 2.1989 O
4.0777 9.8382 6.4718 O
4.4249 6.7974 5.4250 O
4.4249 9.0096 1.1521 O
4.5545 1.5477 5.3636 O
4.5545 3.7213 1.0907 O
5.7071 0.8012 7.5438 O
5.7071 4.4678 3.2709 O
5.7503 0.8012 3.2709 O
5.7503 4.4678 7.5438 O
6.9029 1.5477 1.0907 O
6.9029 3.7213 5.3636 O
7.0325 6.7974 1.1521 O
7.0325 9.0096 5.4250 O
7.3797 5.9687 6.4718 O
7.3797 9.8382 2.1989 O
```

Record 7
A geometry-optimized BaSiP4H2O14 structure. Source: Alexandria via LeMat-Bulk, functional GGA-PBEsol.

## Properties
Fermi-level density of states, states/eV/f.u.: 0.000
Energy, eV/atom: -7.3295
Total magnetization, μB/f.u.: 0.00

```
BaSiP4H2O14
1.0
4.5969 0.0000 0.0000
1.6907 6.4521 0.0000
0.7411 2.3182 8.7037
Ba Si P H O
1 1 4 2 14
Cartesian
0.0000 0.0000 0.0000 Ba
0.3706 1.1591 4.3519 Si
1.9233 5.3224 6.4262 P
2.6630 2.6238 5.7898 P
4.3658 6.1465 2.9140 P
5.1054 3.4479 2.2776 P
2.9360 3.4237 1.4735 H
4.0928 5.3465 7.2302 H
1.0103 2.3127 3.1676 O
1.6447 4.0003 1.4420 O
1.2765 1.9588 5.6626 O
2.4575 4.1845 5.4367 O
3.1205 5.7980 7.2824 O
3.4225 6.5611 4.0330 O
3.9118 6.2710 1.4844 O
3.1170 2.4992 7.2193 O
3.6062 2.2092 4.6707 O
3.9082 2.9723 1.4214 O
4.5712 4.5857 3.2671 O
5.7522 6.8114 3.0412 O
5.3841 4.7699 7.2618 O
6.0185 6.4576 5.5361 O
```

Record 8
A geometry-optimized Ba2H2PdS10O34 structure. Source: Alexandria via LeMat-Bulk, functional GGA-PBEsol.

## Properties
Fermi-level density of states, states/eV/f.u.: 0.000
Energy, eV/atom: -6.3058
Total magnetization, μB/f.u.: 0.07

```
Ba2H2PdS10O34
1.0
9.0176 0.0000 0.0000
0.3274 9.2983 0.0000
1.4460 4.4753 8.1030
Ba H Pd S O
2 2 1 10 34
Cartesian
2.3424 2.2330 0.6994 Ba
8.4486 11.5406 7.4036 Ba
1.6759 8.0856 3.6236 H
9.1151 5.6880 4.4794 H
5.3955 6.8868 4.0515 Pd
1.5262 7.7542 1.4551 S
2.5749 9.2988 5.9152 S
2.9911 11.9206 4.8351 S
3.7864 5.9046 1.6686 S
4.9200 4.2999 5.7470 S
5.8710 9.4737 2.3559 S
7.0046 7.8690 6.4344 S
7.7999 1.8530 3.2679 S
8.2161 4.4749 2.1878 S
9.2648 6.0194 6.6478 S
0.3935 7.6538 0.5946 O
0.4473 3.9278 1.7223 O
1.0650 7.6240 2.8958 O
1.7607 3.3439 5.6677 O
2.5289 8.6538 4.6178 O
2.2716 2.2230 3.5190 O
2.2761 6.3441 1.1560 O
2.4720 8.8198 1.2861 O
3.4007 8.6274 6.8802 O
3.5758 10.6724 5.6248 O
3.9737 5.0698 6.5002 O
3.7298 6.2622 3.1228 O
4.0134 3.4151 4.6032 O
3.7435 4.4898 1.4342 O
5.0407 8.7174 3.3221 O
4.7353 6.6833 0.9239 O
4.7698 1.1744 1.6789 O
6.0212 12.5992 6.4241 O
6.0557 7.0903 7.1791 O
5.7503 5.0562 4.7809 O
7.0475 9.2839 6.6688 O
6.7776 10.3585 3.4998 O
7.0612 7.5114 4.9802 O
6.8173 8.7038 1.6028 O
7.2152 3.1012 2.4782 O
7.3903 5.1462 1.2228 O
8.3190 4.9538 6.8169 O
8.5149 7.4295 6.9470 O
8.5194 11.5507 4.5840 O
8.2620 5.1198 3.4852 O
9.0303 10.4297 2.4353 O
9.7260 6.1496 5.2071 O
10.3437 9.8458 6.3807 O
10.3975 6.1198 7.5084 O
```

Record 9
A geometry-optimized Rb2Ba6Sb5HO structure. Source: Alexandria via LeMat-Bulk, functional GGA-PBEsol.

## Properties
Energy, eV/atom: -4.1398
Total magnetization, μB/f.u.: 0.00

```
Rb2Ba6Sb5HO
1.0
-4.3848 4.3848 14.0340
4.3848 -4.3848 14.0340
4.3848 4.3848 -14.0340
Rb Ba Sb H O
4 12 10 2 2
Cartesian
5.8529 1.4681 0.0000 Rb
1.4681 2.9167 0.0000 Rb
2.9167 1.4681 14.0340 Rb
-1.4681 2.9167 14.0340 Rb
2.9857 -1.3991 5.4364 Ba
0.0000 0.0000 2.6103 Ba
5.7838 -1.3991 8.5976 Ba
5.7838 1.3991 5.4364 Ba
0.0000 0.0000 11.4236 Ba
2.9857 1.3991 8.5976 Ba
1.3991 2.9857 5.4364 Ba
0.0000 0.0000 16.6443 Ba
-1.3991 2.9857 8.5976 Ba
-1.3991 5.7838 5.4364 Ba
0.0000 0.0000 25.4576 Ba
1.3991 5.7838 8.5976 Ba
3.3628 1.0220 -2.8851 Sb
3.3628 1.0220 2.8851 Sb
0.0000 0.0000 7.0170 Sb
3.3628 -1.0220 11.1489 Sb
3.3628 -1.0220 16.9191 Sb
1.0220 5.4067 -2.8851 Sb
1.0220 5.4067 2.8851 Sb
0.0000 0.0000 21.0509 Sb
1.0220 3.3628 11.1489 Sb
1.0220 3.3628 16.9191 Sb
0.0000 0.0000 0.0000 H
0.0000 0.0000 14.0340 H
4.3848 0.0000 7.0170 O
0.0000 4.3848 7.0170 O
```

Record 10
A geometry-optimized RbBaSiHO4 structure. Source: Alexandria via LeMat-Bulk, functional GGA-PBEsol.

## Properties
Fermi-level density of states, states/eV/f.u.: 0.000
Energy, eV/atom: -6.5279
Total magnetization, μB/f.u.: 0.00

```
RbBaSiHO4
1.0
5.8830 0.0000 0.0000
0.0000 8.0946 0.0000
-2.7912 0.0000 5.2771
Rb Ba Si H O
2 2 2 2 8
Cartesian
-0.0189 0.0000 1.5411 Rb
3.1106 4.0473 3.7360 Rb
0.0950 2.0506 5.2490 Ba
2.9967 6.0979 0.0281 Ba
0.0660 4.1553 2.0036 Si
3.0257 0.1080 3.2735 Si
-1.2411 2.2208 2.4538 H
4.3328 6.2681 2.8233 H
-0.8550 2.7542 1.6436 O
-1.8585 1.3764 3.6074 O
1.4103 4.1235 1.0825 O
0.3767 4.0901 3.6081 O
2.7151 0.0428 1.6690 O
1.6815 0.0762 4.1946 O
4.9503 5.4237 1.6697 O
3.9468 6.8015 3.6335 O
```